P) First-principles (PBE) data for Hg2TeO after structural relaxation, as listed in the Open Quantum Materials Database.

Properties
**Symmetry**: Cmcm
**Calculated volume**: 86 Å³/f.u.

Cell lengths 3.7695, 6.2121, 7.5509 Å; angles 90.00, 75.55, 90.00 degrees
Last column: nearest neighbours and their distance in Å.
Sites, in units of the cell vectors:
Hg  0.8791  0.2500  0.2419  2 O 2.35
Hg  0.1209  0.7500  0.7581  2 O 2.35
Hg  0.4340  0.7500  0.1320  4 O 2.63
Hg  0.5660  0.2500  0.8680  4 O 2.63
Te  0.2270  0.2500  0.5461  4 Hg 2.92-3.02
Te  0.7730  0.7500  0.4539  4 Hg 2.92-3.02
O  0.0000  0.0000  0.0000  6 Hg 2.35-2.63
O  0.0000  0.5000  0.0000  6 Hg 2.35-2.63

---

Q) First-principles (PBE) data for Hg2TeO after structural relaxation, as listed in the Open Quantum Materials Database.

Properties
**Symmetry**: Cmc2_1
**Calculated volume**: 97 Å³/f.u.

Cell lengths 7.5715, 7.5715, 6.5521 Å; angles 90.00, 90.00, 149.06 degrees
Last column: nearest neighbours and their distance in Å.
Sites, in units of the cell vectors:
O  0.4135  0.5865  0.5403  4 Hg 2.19-2.43
O  0.5865  0.4135  0.0403  4 Hg 2.19-2.43
Hg  0.1720  0.8280  0.9613  2 O 2.43
Hg  0.8280  0.1720  0.4613  2 O 2.43
Hg  0.5428  0.4572  0.3709  2 O 2.19-2.26
Hg  0.4572  0.5428  0.8709  2 O 2.19-2.26
Te  0.8257  0.1743  0.0201  5 Hg 2.89-3.04
Te  0.1743  0.8257  0.5201  5 Hg 2.89-3.04

---

Most stable structure - Q); separation to the second - 189 meV/atom.

---

P) First-principles (PBE) data for Hg2Te2O5 after structural relaxation, as listed in the Open Quantum Materials Database.

Properties
**Symmetry**: P4/mmm
**Calculated volume**: 140 Å³/f.u.

Cell lengths 8.3409, 4.0944, 4.0944 Å; angles 90.00, 90.00, 90.00 degrees
Last column: nearest neighbours and their distance in Å.
Sites, in units of the cell vectors:
O  0.5000  0.5000  0.5000  2 Te 1.96
O  0.3126  0.0000  0.5000  2 Te 2.08
O  0.6874  0.5000  0.0000  2 Te 2.08
O  0.3126  0.5000  0.0000  2 Te 2.08
O  0.6874  0.0000  0.5000  2 Te 2.08
Hg  0.5000  0.0000  0.0000  8 O 2.58
Hg  0.0000  0.0000  0.0000  8 O 3.31, 8 Te 3.64
Te  0.7348  0.5000  0.5000  5 O 1.96-2.08
Te  0.2652  0.5000  0.5000  5 O 1.96-2.08

---

Q) First-principles (PBE) data for Hg2Te2O5 after structural relaxation, as listed in the Open Quantum Materials Database.

Properties
**Symmetry**: P4/mmm
**Calculated volume**: 134 Å³/f.u.

Cell lengths 10.0029, 3.6580, 3.6580 Å; angles 90.00, 90.00, 90.00 degrees
Last column: nearest neighbours and their distance in Å.
Sites, in units of the cell vectors:
O  0.1200  0.0000  0.5000  2 Te 2.19, 2 Hg 2.35, 1 O 2.40
O  0.1200  0.5000  0.0000  2 Te 2.19, 2 Hg 2.35, 1 O 2.40
O  0.8800  0.5000  0.0000  2 Te 2.19, 2 Hg 2.35, 1 O 2.40
O  0.8800  0.0000  0.5000  2 Te 2.19, 2 Hg 2.35, 1 O 2.40
O  0.5000  0.5000  0.5000  2 Hg 2.32, 4 Te 2.59
Hg  0.7318  0.5000  0.5000  5 O 2.32-2.35
Hg  0.2682  0.5000  0.5000  5 O 2.32-2.35
Te  0.5000  0.0000  0.0000  4 O 2.59
Te  0.0000  0.0000  0.0000  8 O 2.19

---

Most stable structure - P); separation to the second - 350 meV/atom.

---

P) First-principles (PBE) data for TlHgTeO after structural relaxation, as listed in the Open Quantum Materials Database.

Properties
**Symmetry**: Pmc2_1
**Calculated volume**: 118 Å³/f.u.

Cell lengths 4.3961, 9.0482, 5.9288 Å; angles 90.00, 90.00, 90.00 degrees
Last column: nearest neighbours and their distance in Å.
Sites, in units of the cell vectors:
Te  0.0000  0.6824  0.1270  2 Tl 2.89, 2 Hg 2.94-3.01
Te  0.0000  0.3176  0.6270  2 Tl 2.89, 2 Hg 2.94-3.01
Tl  0.5000  0.1149  0.5580  2 O 2.13-2.21
Tl  0.5000  0.8851  0.0580  2 O 2.13-2.21
Hg  0.0000  0.2878  0.1213  2 O 2.77, 2 Te 2.94-3.01
Hg  0.0000  0.7122  0.6213  2 O 2.77, 2 Te 2.94-3.01
O  0.5000  0.8944  0.6847  2 Tl 2.13-2.21
O  0.5000  0.1056  0.1847  2 Tl 2.13-2.21

---

Q) First-principles (PBE) data for TlHgTeO after structural relaxation, as listed in the Open Quantum Materials Database.

Properties
**Symmetry**: P4/nmm
**Calculated volume**: 94 Å³/f.u.

Cell lengths 4.3634, 4.3634, 9.9068 Å; angles 90.00, 90.00, 90.00 degrees
Last column: nearest neighbours and their distance in Å.
Sites, in units of the cell vectors:
Te  0.7500  0.7500  0.2985  4 Hg 2.96
Te  0.2500  0.2500  0.7015  4 Hg 2.96
Hg  0.2500  0.7500  0.5000  4 Te 2.96, 4 Hg 3.09
Hg  0.7500  0.2500  0.5000  4 Te 2.96, 4 Hg 3.09
O  0.7500  0.2500  0.0000  4 Tl 2.40
O  0.2500  0.7500  0.0000  4 Tl 2.40
Tl  0.7500  0.7500  0.8992  4 O 2.40
Tl  0.2500  0.2500  0.1008  4 O 2.40

---

Most stable structure - P); separation to the second - 41 meV/atom.

---

P) First-principles (PBE) data for Tl2Hg2O3 after structural relaxation, as listed in the Open Quantum Materials Database.

Properties
**Symmetry**: R-3m
**Calculated volume**: 129 Å³/f.u.

Cell lengths 5.3351, 5.3351, 5.3351 Å; angles 69.84, 69.84, 69.84 degrees
Last column: nearest neighbours and their distance in Å.
Sites, in units of the cell vectors:
O  0.0000  0.5000  0.0000  2 Hg 2.23
O  0.5000  0.0000  0.0000  2 Hg 2.23
O  0.0000  0.0000  0.5000  2 Hg 2.23
Hg  0.2803  0.2803  0.2803  3 O 2.23
Hg  0.7197  0.7197  0.7197  3 O 2.23
Tl  0.0000  0.0000  0.0000  6 O 2.67
Tl  0.5000  0.5000  0.5000  2 Hg 2.64

---

Q) First-principles (PBE) data for Tl2Hg2O3 after structural relaxation, as listed in the Open Quantum Materials Database.

Properties
**Symmetry**: I2_13
**Calculated volume**: 157 Å³/f.u.

Cell lengths 7.4178, 7.4178, 7.4178 Å; angles 109.47, 109.47, 109.47 degrees
Last column: nearest neighbours and their distance in Å.
Sites, in units of the cell vectors:
O  0.2500  0.6206  0.3706  2 Hg 2.29, 2 Tl 2.41
O  0.6206  0.3706  0.2500  2 Hg 2.29, 2 Tl 2.41
O  0.8794  0.1294  0.7500  2 Hg 2.29, 2 Tl 2.41
O  0.7500  0.8794  0.1294  2 Hg 2.29, 2 Tl 2.41
O  0.3706  0.2500  0.6206  2 Hg 2.29, 2 Tl 2.41
O  0.1294  0.7500  0.8794  2 Hg 2.29, 2 Tl 2.41
Hg  0.0000  0.0906  0.5000  3 O 2.29
Hg  0.4094  0.4094  0.4094  3 O 2.29
Hg  0.0906  0.5000  0.0000  3 O 2.29
Hg  0.5000  0.0000  0.0906  3 O 2.29
Tl  0.0016  0.0016  0.0016  3 O 2.41
Tl  0.0000  0.4984  0.5000  3 O 2.41
Tl  0.5000  0.0000  0.4984  3 O 2.41
Tl  0.4984  0.5000  0.0000  3 O 2.41

---

Most stable structure - Q); separation to the second - 232 meV/atom.

---

P) First-principles (PBE) data for Tm2Hg2O5 after structural relaxation, as listed in the Open Quantum Materials Database.

Properties
**Symmetry**: P4/mmm
**Calculated volume**: 131 Å³/f.u.

Cell lengths 7.1563, 4.2732, 4.2732 Å; angles 90.00, 90.00, 90.00 degrees
Last column: nearest neighbours and their distance in Å.
Sites, in units of the cell vectors:
O  0.7945  0.5000  0.0000  2 Hg 2.14
O  0.2055  0.5000  0.0000  2 Hg 2.14
O  0.7945  0.0000  0.5000  2 Hg 2.14
O  0.5000  0.5000  0.5000  2 Hg 2.20
O  0.2055  0.0000  0.5000  2 Hg 2.14
Tm  0.5000  0.0000  0.0000  12 O 3.00-3.02
Tm  0.0000  0.0000  0.0000  8 O 2.59
Hg  0.1925  0.5000  0.5000  5 O 2.14-2.20
Hg  0.8075  0.5000  0.5000  5 O 2.14-2.20

---

Q) First-principles (PBE) data for Tm2Hg2O5 after structural relaxation, as listed in the Open Quantum Materials Database.

Properties
**Symmetry**: P4/mmm
**Calculated volume**: 142 Å³/f.u.

Cell lengths 8.5961, 4.0583, 4.0583 Å; angles 90.00, 90.00, 90.00 degrees
Last column: nearest neighbours and their distance in Å.
Sites, in units of the cell vectors:
O  0.8320  0.5000  0.0000  2 Tm 2.15
O  0.5000  0.5000  0.5000  2 Tm 2.14
O  0.8320  0.0000  0.5000  2 Tm 2.15
O  0.1680  0.0000  0.5000  2 Tm 2.15
O  0.1680  0.5000  0.0000  2 Tm 2.15
Tm  0.2510  0.5000  0.5000  5 O 2.14-2.15
Tm  0.7490  0.5000  0.5000  5 O 2.14-2.15
Hg  0.0000  0.0000  0.0000  8 O 2.49
Hg  0.5000  0.0000  0.0000  4 O 2.87

---

Most stable structure - Q); separation to the second - 672 meV/atom.

---

P) First-principles (PBE) data for Y2Hg2O5 after structural relaxation, as listed in the Open Quantum Materials Database.

Properties
**Symmetry**: P4/mmm
**Calculated volume**: 133 Å³/f.u.

Cell lengths 7.2022, 4.2896, 4.2896 Å; angles 90.00, 90.00, 90.00 degrees
Last column: nearest neighbours and their distance in Å.
Sites, in units of the cell vectors:
Hg  0.1935  0.5000  0.5000  5 O 2.15-2.21
Hg  0.8065  0.5000  0.5000  5 O 2.15-2.21
Y  0.0000  0.0000  0.0000  8 O 2.62
Y  0.5000  0.0000  0.0000  12 O 3.00-3.03
O  0.7910  0.5000  0.0000  2 Hg 2.15
O  0.2090  0.5000  0.0000  2 Hg 2.15
O  0.2090  0.0000  0.5000  2 Hg 2.15
O  0.5000  0.5000  0.5000  2 Hg 2.21
O  0.7910  0.0000  0.5000  2 Hg 2.15

---

Q) First-principles (PBE) data for Y2Hg2O5 after structural relaxation, as listed in the Open Quantum Materials Database.

Properties
**Symmetry**: P4/mmm
**Calculated volume**: 147 Å³/f.u.

Cell lengths 8.7752, 4.0991, 4.0991 Å; angles 90.00, 90.00, 90.00 degrees
Last column: nearest neighbours and their distance in Å.
Sites, in units of the cell vectors:
O  0.5000  0.5000  0.5000  2 Y 2.19
O  0.8373  0.5000  0.0000  2 Y 2.19
O  0.1627  0.0000  0.5000  2 Y 2.19
O  0.8373  0.0000  0.5000  2 Y 2.19
O  0.1627  0.5000  0.0000  2 Y 2.19
Y  0.7494  0.5000  0.5000  5 O 2.19
Y  0.2506  0.5000  0.5000  5 O 2.19
Hg  0.5000  0.0000  0.0000  4 O 2.90
Hg  0.0000  0.0000  0.0000  8 O 2.50

---

Most stable structure - Q); separation to the second - 516 meV/atom.